# 1
A plane-wave DFT calculation with PBE-GGA was carried out for Tb2Pm12Y5 after structural relaxation.

Results
Fermi-level density of states: 55.0 states/eV per cell
size of the total moment: 0.00 μB/cell
crystal system: monoclinic
distance to the lowest polymorph of the same formula: 0.020 eV/atom

Cell lengths 15.952, 9.259, 8.780 Å; angles 90.00, 92.40, 90.00 degrees
Space group C2/m (No. 12)
One atom of each set of equivalent atoms:
Tb 0.000 0.171 0.000
Pm 0.059 0.000 0.343
Pm 0.079 0.500 0.883
Pm 0.130 0.197 0.680
Pm 0.150 0.319 0.238
Y 0.000 0.500 0.500
Y 0.205 0.000 0.029
Y 0.232 0.500 0.566

# 2
A plane-wave DFT calculation with PBE-GGA was carried out for Tb6Pm19Y4 after structural relaxation.

Results
Fermi-level density of states: 82.7 states/eV per cell
size of the total moment: 0.00 μB/cell
crystal system: cubic
uncorrected energy: -4.60 eV/atom

Cell lengths 12.654, 12.654, 12.654 Å; angles 90.00, 90.00, 90.00 degrees
Space group I23 (No. 197)
One atom of each set of equivalent atoms:
Tb 0.000 0.125 0.500
Pm 0.000 0.000 0.000
Pm 0.000 0.000 0.259
Pm 0.062 0.282 0.740
Y 0.180 0.180 0.180

# 3
A plane-wave DFT calculation with PBE-GGA was carried out for Tb9Pm11Y4 after structural relaxation.

Results
Fermi-level density of states: 63.2 states/eV per cell
size of the total moment: 0.00 μB/cell
crystal system: orthorhombic
uncorrected energy: -4.93 eV/atom

Cell lengths 16.987, 25.867, 3.661 Å; angles 90.00, 90.00, 90.00 degrees
Space group Cmmm (No. 65)
One atom of each set of equivalent atoms:
Tb 0.000 0.000 0.000
Tb 0.102 0.232 0.000
Tb 0.139 0.426 0.000
Pm 0.000 0.132 0.500
Pm 0.000 0.338 0.500
Pm 0.000 0.500 0.500
Pm 0.211 0.000 0.500
Pm 0.223 0.319 0.500
Y 0.158 0.101 0.000

# 4
A plane-wave DFT calculation with PBE-GGA was carried out for Tb4Pm5Y2 after structural relaxation.

Results
Fermi-level density of states: 30.8 states/eV per cell
size of the total moment: 0.00 μB/cell
crystal system: monoclinic
distance to the lowest polymorph of the same formula: 0.000 eV/atom

Cell lengths 11.184, 7.363, 9.304 Å; angles 90.00, 106.69, 90.00 degrees
Space group C2/m (No. 12)
One atom of each set of equivalent atoms:
Tb 0.165 0.000 0.117
Tb 0.196 0.000 0.497
Pm 0.000 0.500 0.500
Pm 0.068 0.219 0.768
Y 0.145 0.500 0.121

# 5
A plane-wave DFT calculation with PBE-GGA was carried out for Tb5Pm2Y after structural relaxation.

Results
Fermi-level density of states: 21.4 states/eV per cell
size of the total moment: 0.00 μB/cell
crystal system: orthorhombic
distance to the lowest polymorph of the same formula: 0.000 eV/atom

Cell lengths 7.175, 14.350, 5.064 Å; angles 90.00, 90.00, 90.00 degrees
Space group Pbam (No. 55)
One atom of each set of equivalent atoms:
Tb 0.000 0.000 0.000
Tb 0.000 0.250 0.000
Tb 0.249 0.125 0.500
Pm 0.249 0.875 0.500
Y 0.000 0.500 0.000

# 6
A plane-wave DFT calculation with PBE-GGA was carried out for Tb4Pm10Y after structural relaxation.

Results
Fermi-level density of states: 51.6 states/eV per cell
size of the total moment: 0.00 μB/cell
crystal system: tetragonal
uncorrected energy: -4.41 eV/atom

Cell lengths 9.969, 9.969, 10.960 Å; angles 90.00, 90.00, 90.00 degrees
Space group I4/m (No. 87)
One atom of each set of equivalent atoms:
Tb 0.058 0.715 0.000
Pm 0.000 0.500 0.250
Pm 0.120 0.774 0.333
Y 0.000 0.000 0.500